No. 1
Material: LaTbHg
Method: DFT, PBE-GGA
State: optimized geometry

**Space-group type**: No. 129
**Uncorrected energy**: -21.62 eV per cell
**ΔE_f**: -317 meV/atom
**Offset from the most stable computed form**: 0.0135 eV per atom

Cell: 4.922 4.922 7.828 Å, 90.01 89.98 90.00°
Element x y z (fractional)
La  0.480  0.493  0.245
Hg  0.481  0.493  0.636
Tb  0.481  0.993  0.879
Tb  0.981  0.493  0.879
Hg  0.980  0.993  0.122
La  0.980  0.993  0.512

---

No. 2
Material: BeGeCl6
Method: DFT, PBE-GGA
State: optimized geometry

**Space-group type**: No. 2
**ΔE_f (raw)**: -0.709 eV/atom
**Uncorrected energy**: -25.10 eV per cell

Cell: 5.983 5.994 6.308 Å, 61.60 61.53 60.07°
Element x y z (fractional)
Cl  0.251  0.888  0.255
Ge  0.000  0.000  0.000
Be  0.500  0.500  0.500
Cl  0.606  0.251  0.255
Cl  0.113  0.395  0.744
Cl  0.394  0.749  0.745
Cl  0.887  0.605  0.256
Cl  0.749  0.112  0.745